Record 1
Density functional theory data (PBE-GGA) for a geometry-optimized K3GeH2NO3 structure.

## Properties
For the electronic total energy, the calculation gives -5.03 eV/atom. For the density of states at the Fermi level, the calculation gives 0.000 states/eV/f.u.

Cell and atoms, written as CIF:
```
data_K3GeH2NO3
_chemical_formula_sum 'K6 Ge2 H4 N2 O6'
_cell_length_a 6.471
_cell_length_b 6.791
_cell_length_c 7.289
_cell_angle_alpha 95.91
_cell_angle_beta 102.03
_cell_angle_gamma 91.72
_symmetry_space_group_name_H-M 'P -1'
_symmetry_Int_Tables_number 2
loop_
_symmetry_equiv_pos_as_xyz
'x,y,z'
'-x,-y,-z'
loop_
_atom_site_label
_atom_site_fract_x
_atom_site_fract_y
_atom_site_fract_z
K1 0.154 0.198 0.484
K2 0.218 0.525 0.869
K3 0.262 0.092 0.029
Ge1 0.290 0.704 0.306
H1 0.400 0.888 0.627
H2 0.488 0.664 0.631
N1 0.356 0.741 0.579
O1 0.070 0.852 0.242
O2 0.222 0.448 0.240
O3 0.497 0.219 0.794
```

---

Record 2
Density functional theory data (PBE-GGA) for a geometry-optimized TbCd4Pb structure.

## Properties
For the polymorph energy (0 for the lowest one), the calculation gives 91 meV per atom. For the electronic total energy, the calculation gives -2.11 eV/atom. Its formation energy from the elements is -0.115 eV per atom. For the density of states at the Fermi level, the calculation gives 2.030 states/eV/f.u.

Cell and atoms, written as CIF:
```
data_TbCd4Pb
_chemical_formula_sum 'Tb4 Cd16 Pb4'
_cell_length_a 8.452
_cell_length_b 8.452
_cell_length_c 8.452
_cell_angle_alpha 90.00
_cell_angle_beta 90.00
_cell_angle_gamma 90.00
_symmetry_space_group_name_H-M 'F -4 3 m'
_symmetry_Int_Tables_number 216
_symmetry_space_group_name_Hall 'F -4 2 3'
loop_
_atom_site_label
_atom_site_fract_x
_atom_site_fract_y
_atom_site_fract_z
Tb1 0.000 0.000 0.000
Cd1 0.125 0.125 0.625
Pb1 0.250 0.250 0.250
```

---

Record 3
Density functional theory data (PBE-GGA) for a geometry-optimized Sm8Ge3SI4 structure.

## Properties
For the electronic total energy, the calculation gives -5.00 eV/atom. For the density of states at the Fermi level, the calculation gives 7.000 states/eV/f.u. For the energy relative to the elements, uncorrected, the calculation gives -1.1265 eV/atom.

Cell and atoms, written as CIF:
```
data_Sm8Ge3SI4
_chemical_formula_sum 'Sm24 Ge9 S3 I12'
_cell_length_a 8.5023
_cell_length_b 8.5023
_cell_length_c 22.8322
_cell_angle_alpha 90.00
_cell_angle_beta 90.00
_cell_angle_gamma 120.00
_symmetry_space_group_name_H-M 'R -3 m'
_symmetry_Int_Tables_number 166
_symmetry_space_group_name_Hall '-R 3 2"'
loop_
_atom_site_label
_atom_site_fract_x
_atom_site_fract_y
_atom_site_fract_z
Sm1 0.0000 0.0000 0.2325
Sm2 0.0087 0.5044 0.2309
Ge1 0.0000 0.5000 0.5000
S1 0.0000 0.0000 0.5000
I1 0.0000 0.0000 0.0000
I2 0.0000 0.5000 0.0000
```

---

Record 4
Density functional theory data (PBE-GGA) for a geometry-optimized Ce5Er3Sb8 structure.

## Properties
For the electronic total energy, the calculation gives -5.83 eV/atom. For the density of states at the Fermi level, the calculation gives 33.449 states/eV/f.u. For the energy relative to the elements, uncorrected, the calculation gives -1.0587 eV/atom.

Cell and atoms, written as CIF:
```
data_Ce5Er3Sb8
_chemical_formula_sum 'Ce15 Er9 Sb24'
_cell_length_a 8.8903
_cell_length_b 8.8903
_cell_length_c 21.7693
_cell_angle_alpha 90.00
_cell_angle_beta 90.00
_cell_angle_gamma 120.00
_symmetry_space_group_name_H-M 'R -3 m'
_symmetry_Int_Tables_number 166
_symmetry_space_group_name_Hall '-R 3 2"'
loop_
_atom_site_label
_atom_site_fract_x
_atom_site_fract_y
_atom_site_fract_z
Ce1 0.0000 0.0000 0.0000
Ce2 0.0000 0.0000 0.5000
Ce3 0.0000 0.5000 0.0000
Er1 0.0000 0.5000 0.5000
Sb1 0.0000 0.0000 0.2472
Sb2 0.0042 0.5021 0.7521
```

---

Record 5
Density functional theory data (PBE-GGA) for a geometry-optimized LaAlCd2 structure.

## Properties
For the electronic total energy, the calculation gives -2.59 eV/atom. Its formation energy from the elements is 0.032 eV per atom. For the density of states at the Fermi level, the calculation gives 2.373 states/eV/f.u.

Cell and atoms, written as CIF:
```
data_LaAlCd2
_chemical_formula_sum 'La3 Al3 Cd6'
_cell_length_a 3.2308
_cell_length_b 3.2308
_cell_length_c 32.1657
_cell_angle_alpha 90.00
_cell_angle_beta 90.00
_cell_angle_gamma 120.00
_symmetry_space_group_name_H-M 'R -3 m'
_symmetry_Int_Tables_number 166
_symmetry_space_group_name_Hall '-R 3 2"'
loop_
_atom_site_label
_atom_site_fract_x
_atom_site_fract_y
_atom_site_fract_z
La1 0.0000 0.0000 0.0000
Al1 0.0000 0.0000 0.5000
Cd1 0.0000 0.0000 0.2413
```

---

Record 6
Density functional theory data (PBE-GGA) for a geometry-optimized Zr6In2Bi structure.

## Properties
For the electronic total energy, the calculation gives -6.96 eV/atom. Its formation energy from the elements is -0.221 eV per atom. For the density of states at the Fermi level, the calculation gives 11.417 states/eV/f.u.

Cell and atoms, written as CIF:
```
data_Zr6In2Bi
_chemical_formula_sum 'Zr12 In4 Bi2'
_cell_length_a 8.756
_cell_length_b 9.304
_cell_length_c 5.114
_cell_angle_alpha 90.00
_cell_angle_beta 90.00
_cell_angle_gamma 90.00
_symmetry_space_group_name_H-M 'P n n m'
_symmetry_Int_Tables_number 58
loop_
_symmetry_equiv_pos_as_xyz
'x,y,z'
'-x,-y,-z'
'-x,-y,z'
'x,y,-z'
'x+1/2,-y+1/2,-z+1/2'
'-x+1/2,y+1/2,z+1/2'
'-x+1/2,y+1/2,-z+1/2'
'x+1/2,-y+1/2,z+1/2'
loop_
_atom_site_label
_atom_site_fract_x
_atom_site_fract_y
_atom_site_fract_z
Zr1 0.000 0.166 0.000
Zr2 0.165 0.413 0.500
Zr3 0.166 0.078 0.500
In1 0.166 0.749 0.500
Bi1 0.000 0.500 0.000
```

---

Record 7
Density functional theory data (PBE-GGA) for a geometry-optimized HoTh2Si3Pt4 structure.

## Properties
For the electronic total energy, the calculation gives -7.05 eV/atom. For the density of states at the Fermi level, the calculation gives 6.962 states/eV/f.u. For the energy relative to the elements, uncorrected, the calculation gives -1.0637 eV/atom.

Cell and atoms, written as CIF:
```
data_HoTh2Si3Pt4
_chemical_formula_sum 'Ho1 Th2 Si3 Pt4'
_cell_length_a 4.241
_cell_length_b 4.241
_cell_length_c 11.001
_cell_angle_alpha 90.00
_cell_angle_beta 90.00
_cell_angle_gamma 90.00
_symmetry_space_group_name_H-M 'P -4 m 2'
_symmetry_Int_Tables_number 115
loop_
_symmetry_equiv_pos_as_xyz
'x,y,z'
'y,-x,-z'
'-x,-y,z'
'-y,x,-z'
'-x,y,z'
'-y,-x,-z'
'x,-y,z'
'y,x,-z'
loop_
_atom_site_label
_atom_site_fract_x
_atom_site_fract_y
_atom_site_fract_z
Ho1 0.000 0.000 0.000
Th1 0.000 0.500 0.725
Si1 0.000 0.500 0.379
Si2 0.500 0.500 0.000
Pt1 0.000 0.000 0.500
Pt2 0.000 0.500 0.161
Pt3 0.500 0.500 0.500
```

---

Record 8
Density functional theory data (PBE-GGA) for a geometry-optimized Ba2HfCo structure.

## Properties
For the polymorph energy (0 for the lowest one), the calculation gives 0 meV per atom. For the electronic total energy, the calculation gives -4.65 eV/atom. Its formation energy from the elements is 0.574 eV per atom. For the density of states at the Fermi level, the calculation gives 4.671 states/eV/f.u.

Cell and atoms, written as CIF:
```
data_Ba2HfCo
_chemical_formula_sum 'Ba8 Hf4 Co4'
_cell_length_a 12.007
_cell_length_b 12.007
_cell_length_c 4.672
_cell_angle_alpha 90.00
_cell_angle_beta 90.00
_cell_angle_gamma 90.00
_symmetry_space_group_name_H-M 'I -4 2 d'
_symmetry_Int_Tables_number 122
_symmetry_space_group_name_Hall 'I -4 2bw'
loop_
_atom_site_label
_atom_site_fract_x
_atom_site_fract_y
_atom_site_fract_z
Ba1 0.081 0.250 0.125
Hf1 0.000 0.000 0.500
Co1 0.000 0.000 0.000
```

---

Record 9
Density functional theory data (PBE-GGA) for a geometry-optimized Sm5Y6Ho2 structure.

## Properties
For the electronic total energy, the calculation gives -5.41 eV/atom. Its formation energy from the elements is 0.096 eV per atom. For the density of states at the Fermi level, the calculation gives 16.611 states/eV/f.u.

Cell and atoms, written as CIF:
```
data_Sm5Y6Ho2
_chemical_formula_sum 'Sm10 Y12 Ho4'
_cell_length_a 11.702
_cell_length_b 20.526
_cell_length_c 3.592
_cell_angle_alpha 90.00
_cell_angle_beta 90.00
_cell_angle_gamma 90.00
_symmetry_space_group_name_H-M 'P b a m'
_symmetry_Int_Tables_number 55
loop_
_symmetry_equiv_pos_as_xyz
'x,y,z'
'-x,-y,-z'
'-x,-y,z'
'x,y,-z'
'x+1/2,-y+1/2,-z'
'-x+1/2,y+1/2,z'
'-x+1/2,y+1/2,-z'
'x+1/2,-y+1/2,z'
loop_
_atom_site_label
_atom_site_fract_x
_atom_site_fract_y
_atom_site_fract_z
Sm1 0.000 0.000 0.000
Sm2 0.085 0.272 0.000
Sm3 0.200 0.550 0.000
Y1 0.059 0.418 0.500
Y2 0.082 0.131 0.500
Y3 0.175 0.862 0.000
Ho1 0.169 0.709 0.500
```

---

Record 10
Density functional theory data (PBE-GGA) for a geometry-optimized Ca2ScSiSe structure.

## Properties
For the electronic total energy, the calculation gives -4.29 eV/atom. For the density of states at the Fermi level, the calculation gives 3.097 states/eV/f.u. For the energy relative to the elements, uncorrected, the calculation gives -0.4465 eV/atom.

Cell and atoms, written as CIF:
```
data_Ca2ScSiSe
_chemical_formula_sum 'Ca2 Sc1 Si1 Se1'
_cell_length_a 5.328
_cell_length_b 5.328
_cell_length_c 5.041
_cell_angle_alpha 90.00
_cell_angle_beta 90.00
_cell_angle_gamma 90.00
_symmetry_space_group_name_H-M 'P 4/m m m'
_symmetry_Int_Tables_number 123
_symmetry_space_group_name_Hall '-P 4 2'
loop_
_atom_site_label
_atom_site_fract_x
_atom_site_fract_y
_atom_site_fract_z
Ca1 0.000 0.500 0.000
Sc1 0.000 0.000 0.500
Si1 0.500 0.500 0.500
Se1 0.000 0.000 0.000
```

---

no.,calculated volume (A^3/atom)
1,15.559
2,25.156
3,29.778
4,31.043
5,24.231
6,23.146
7,19.786
8,42.095
9,33.180
10,28.622